1.
## Ba4HRhI2 (PBE-GGA)

Data for an optimized crystal structure of Ba4HRhI2.

VASP energy = -3.511 eV per atom
Magnetization = 0.000 μB per atom
V = 302.3 Å³ per cell

a = 7.6695 Å, b = 4.5511 Å, c = 9.0292 Å
α = 90.00°, β = 106.41°, γ = 90.00°
Closest atoms and distances in Å follow each position.
Space group P2/m (No. 10)
Asymmetric unit:
Ba (0.2356, 0.0000, 0.1972) x2  1 H 3.05, 2 Rh 3.13
Ba (0.2591, 0.5000, 0.8032) x2  1 Rh 3.02, 2 H 3.15
H (0.5000, 0.0000, 0.0000) x1  6 Ba 3.05-3.15
Rh (0.0000, 0.5000, 0.0000) x1  6 Ba 3.02-3.13
I (0.0000, 0.0000, 0.5000) x1  6 Ba 3.68
I (0.5000, 0.5000, 0.5000) x1  6 Ba 3.69-3.71

2.
## Ba2HRhI (PBE-GGA)

Data for an optimized crystal structure of Ba2HRhI.

VASP energy = -3.834 eV per atom
Magnetization = 0.000 μB per atom
V = 134.7 Å³ per cell

a = 5.9003 Å, b = 5.9003 Å, c = 3.8695 Å
α = 90.00°, β = 90.00°, γ = 90.00°
Closest atoms and distances in Å follow each position.
Space group P4/mmm (No. 123)
Asymmetric unit:
Ba (0.0000, 0.5000, 0.0000) x2  2 H 2.95
H (0.0000, 0.0000, 0.0000) x1  2 Rh 1.93
Rh (0.0000, 0.0000, 0.5000) x1  2 H 1.93
I (0.5000, 0.5000, 0.5000) x1  8 Ba 3.53, 2 I 3.87

3.
## Ba6HRh2I3 (PBE-GGA)

Data for an optimized crystal structure of Ba6HRh2I3.

VASP energy = -3.694 eV per atom
Magnetization = 0.000 μB per atom
V = 921.8 Å³ per cell

a = 7.8493 Å, b = 13.5837 Å, c = 9.0328 Å
α = 90.00°, β = 106.84°, γ = 90.00°
Closest atoms and distances in Å follow each position.
Space group C2/m (No. 12)
Asymmetric unit:
Ba (0.2284, 0.0000, 0.1979) x4  2 Rh 3.11, 1 H 3.15
Ba (0.2340, 0.3315, 0.1971) x8  2 Rh 3.11, 1 H 3.14
H (0.0000, 0.5000, 0.0000) x2  6 Ba 3.14-3.15
Rh (0.0000, 0.1665, 0.0000) x4  6 Ba 3.11
I (0.0000, 0.0000, 0.5000) x2  6 Ba 3.67-3.71
I (0.0000, 0.3320, 0.5000) x4  6 Ba 3.67-3.72

4.
## BaSb2HI (PBE-GGA)

Data for an optimized crystal structure of BaSb2HI.

VASP energy = -3.330 eV per atom
Magnetization = 0.000 μB per atom
V = 149.6 Å³ per cell

a = 4.6884 Å, b = 4.6884 Å, c = 6.8065 Å
α = 90.00°, β = 90.00°, γ = 90.00°
Closest atoms and distances in Å follow each position.
Space group P4/mmm (No. 123)
Asymmetric unit:
Ba (0.0000, 0.0000, 0.0000) x1  4 I 3.32
Sb (0.0000, 0.5000, 0.5000) x2  2 H 2.34
H (0.5000, 0.5000, 0.5000) x1  4 Sb 2.34
I (0.5000, 0.5000, 0.0000) x1  4 Ba 3.32, 2 H 3.40